Below is a geometry-optimized KBaWO4 structure, with properties calculated at the GGA+U level.

The total energy is -6.415 eV/atom.

a = 7.096 Å, b = 6.307 Å, c = 7.786 Å
α = 90.00°, β = 90.10°, γ = 90.00°
Space group P2_1/m (No. 11)
Inequivalent atoms, fractional coordinates:
1 K 0.135 0.250 0.363 [2 per cell]
2 Ba 0.335 0.250 0.904 [2 per cell]
3 W 0.165 0.750 0.139 [2 per cell]
4 O 0.013 0.250 0.685 [2 per cell]
5 O 0.074 0.750 0.917 [2 per cell]
6 O 0.349 0.526 0.161 [4 per cell]